The following is a PBE-GGA calculation of UH3Cl7 after structural relaxation, from the Alexandria database.

```
UH3Cl7
1.0
6.905 -0.401 -1.807
-2.240 6.544 -1.807
-0.305 -0.401 7.131
Cl H U
7 3 1
Direct
0.284 0.284 0.284 Cl
0.012 0.686 0.686 Cl
0.209 0.209 0.756 Cl
0.686 0.012 0.686 Cl
0.209 0.756 0.209 Cl
0.686 0.686 0.012 Cl
0.756 0.209 0.209 Cl
0.381 0.895 0.381 H
0.381 0.381 0.895 H
0.895 0.381 0.381 H
0.966 0.966 0.966 U
```

Computed properties:
Total DFT energy (no corrections) in eV per cell: -45.039
ρ in g/cm3: 2.7